## ZnCo2CuC (PBE)

Data for an optimized crystal structure of ZnCo2CuC.

a = 3.7132 Å, b = 3.7132 Å, c = 3.9176 Å
α = 90.00°, β = 90.00°, γ = 90.00°
Fractional coordinates of all 5 atoms:
Zn 0.0000 0.0000 0.0000
Co 0.0000 0.5000 0.5000
Co 0.5000 0.0000 0.5000
Cu 0.5000 0.5000 0.0000
C 0.5000 0.5000 0.5000

Summary:
Theoretical density (g cm⁻³): 7.96
Uncorrected energy (eV per atom): -5.6839